Record 1
DFT (PBE) results for a relaxed MgCuSe crystal.

The structure in CIF format:
```
data_MgCuSe
_chemical_formula_sum 'Mg2 Cu2 Se2'
_cell_length_a 4.739
_cell_length_b 4.739
_cell_length_c 5.364
_cell_angle_alpha 90.00
_cell_angle_beta 90.00
_cell_angle_gamma 90.00
_symmetry_space_group_name_H-M 'P 1'
_symmetry_Int_Tables_number 1
_symmetry_space_group_name_Hall 'P 1'
loop_
_atom_site_label
_atom_site_type_symbol
_atom_site_fract_x
_atom_site_fract_y
_atom_site_fract_z
Mg1 Mg 0.250 0.250 0.182
Mg2 Mg 0.750 0.750 0.818
Cu1 Cu 0.250 0.250 0.699
Cu2 Cu 0.750 0.750 0.301
Se1 Se 0.250 0.750 0.500
Se2 Se 0.750 0.250 0.500
```

Results
Uncorrected formation energy, meV per atom: -69
Offset from the most stable computed form, meV per atom: 447

Record 2
DFT (PBE) results for a relaxed MgCuSe2 crystal.

The structure in CIF format:
```
data_MgCuSe2
_chemical_formula_sum 'Mg2 Cu2 Se4'
_cell_length_a 4.726
_cell_length_b 4.726
_cell_length_c 11.652
_cell_angle_alpha 90.00
_cell_angle_beta 90.00
_cell_angle_gamma 133.51
_symmetry_space_group_name_H-M 'P 1'
_symmetry_Int_Tables_number 1
_symmetry_space_group_name_Hall 'P 1'
loop_
_atom_site_label
_atom_site_type_symbol
_atom_site_fract_x
_atom_site_fract_y
_atom_site_fract_z
Mg1 Mg 0.011 0.989 0.750
Mg2 Mg 0.989 0.011 0.250
Cu1 Cu 0.270 0.730 0.250
Cu2 Cu 0.730 0.270 0.750
Se1 Se 0.258 0.742 0.609
Se2 Se 0.258 0.742 0.891
Se3 Se 0.742 0.258 0.109
Se4 Se 0.742 0.258 0.391
```

Results
Uncorrected formation energy, meV per atom: -207

Record 3
DFT (PBE) results for a relaxed MgCuSe crystal.

The structure in CIF format:
```
data_MgCuSe
_chemical_formula_sum 'Mg4 Cu4 Se4'
_cell_length_a 5.916
_cell_length_b 10.592
_cell_length_c 3.929
_cell_angle_alpha 90.00
_cell_angle_beta 90.00
_cell_angle_gamma 90.00
_symmetry_space_group_name_H-M 'P 1'
_symmetry_Int_Tables_number 1
_symmetry_space_group_name_Hall 'P 1'
loop_
_atom_site_label
_atom_site_type_symbol
_atom_site_fract_x
_atom_site_fract_y
_atom_site_fract_z
Mg1 Mg 0.196 0.099 0.000
Mg2 Mg 0.304 0.599 0.000
Mg3 Mg 0.696 0.401 0.000
Mg4 Mg 0.804 0.901 0.000
Cu1 Cu 0.153 0.921 0.500
Cu2 Cu 0.347 0.421 0.500
Cu3 Cu 0.653 0.579 0.500
Cu4 Cu 0.847 0.079 0.500
Se1 Se 0.135 0.346 0.000
Se2 Se 0.365 0.846 0.000
Se3 Se 0.635 0.154 0.000
Se4 Se 0.865 0.654 0.000
```

Results
Uncorrected formation energy, meV per atom: -442
Offset from the most stable computed form, meV per atom: 73

Record 4
DFT (PBE) results for a relaxed MgCuSe crystal.

The structure in CIF format:
```
data_MgCuSe
_chemical_formula_sum 'Mg4 Cu4 Se4'
_cell_length_a 3.595
_cell_length_b 9.368
_cell_length_c 6.718
_cell_angle_alpha 90.00
_cell_angle_beta 90.00
_cell_angle_gamma 90.00
_symmetry_space_group_name_H-M 'P 1'
_symmetry_Int_Tables_number 1
_symmetry_space_group_name_Hall 'P 1'
loop_
_atom_site_label
_atom_site_type_symbol
_atom_site_fract_x
_atom_site_fract_y
_atom_site_fract_z
Mg1 Mg 0.000 0.093 0.000
Mg2 Mg 0.000 0.383 0.699
Mg3 Mg 0.000 0.617 0.199
Mg4 Mg 0.000 0.907 0.500
Cu1 Cu 0.500 0.118 0.308
Cu2 Cu 0.500 0.317 0.081
Cu3 Cu 0.500 0.683 0.581
Cu4 Cu 0.500 0.882 0.808
Se1 Se 0.500 0.132 0.672
Se2 Se 0.500 0.453 0.408
Se3 Se 0.500 0.547 0.908
Se4 Se 0.500 0.868 0.172
```

Results
Uncorrected formation energy, meV per atom: -372
Offset from the most stable computed form, meV per atom: 144

Record 5
DFT (PBE) results for a relaxed Mg2Cu2Se crystal.

The structure in CIF format:
```
data_Mg2Cu2Se
_chemical_formula_sum 'Mg4 Cu4 Se2'
_cell_length_a 6.951
_cell_length_b 6.951
_cell_length_c 6.951
_cell_angle_alpha 136.00
_cell_angle_beta 79.45
_cell_angle_gamma 117.63
_symmetry_space_group_name_H-M 'P 1'
_symmetry_Int_Tables_number 1
_symmetry_space_group_name_Hall 'P 1'
loop_
_atom_site_label
_atom_site_type_symbol
_atom_site_fract_x
_atom_site_fract_y
_atom_site_fract_z
Mg1 Mg 0.170 0.207 0.378
Mg2 Mg 0.330 0.707 0.037
Mg3 Mg 0.670 0.293 0.963
Mg4 Mg 0.830 0.793 0.622
Cu1 Cu 0.082 0.677 0.759
Cu2 Cu 0.418 0.177 0.595
Cu3 Cu 0.582 0.823 0.405
Cu4 Cu 0.918 0.323 0.241
Se1 Se 0.250 0.250 0.000
Se2 Se 0.750 0.750 0.000
```

Results
Uncorrected formation energy, meV per atom: -77
Offset from the most stable computed form, meV per atom: 257

Record 6
DFT (PBE) results for a relaxed Mg4Cu2Se crystal.

The structure in CIF format:
```
data_Mg4Cu2Se
_chemical_formula_sum 'Mg4 Cu2 Se1'
_cell_length_a 7.401
_cell_length_b 7.401
_cell_length_c 7.401
_cell_angle_alpha 139.79
_cell_angle_beta 139.79
_cell_angle_gamma 58.18
_symmetry_space_group_name_H-M 'P 1'
_symmetry_Int_Tables_number 1
_symmetry_space_group_name_Hall 'P 1'
loop_
_atom_site_label
_atom_site_type_symbol
_atom_site_fract_x
_atom_site_fract_y
_atom_site_fract_z
Mg1 Mg 0.000 0.500 0.500
Mg2 Mg 0.213 0.213 0.000
Mg3 Mg 0.500 0.000 0.500
Mg4 Mg 0.787 0.787 0.000
Cu1 Cu 0.408 0.408 0.000
Cu2 Cu 0.592 0.592 0.000
Se1 Se 0.000 0.000 0.000
```

Results
Uncorrected formation energy, meV per atom: 90
Offset from the most stable computed form, meV per atom: 238

Record 7
DFT (PBE) results for a relaxed Mg2CuSe4 crystal.

The structure in CIF format:
```
data_Mg2CuSe4
_chemical_formula_sum 'Mg2 Cu1 Se4'
_cell_length_a 9.168
_cell_length_b 9.168
_cell_length_c 9.168
_cell_angle_alpha 29.04
_cell_angle_beta 29.04
_cell_angle_gamma 29.04
_symmetry_space_group_name_H-M 'P 1'
_symmetry_Int_Tables_number 1
_symmetry_space_group_name_Hall 'P 1'
loop_
_atom_site_label
_atom_site_type_symbol
_atom_site_fract_x
_atom_site_fract_y
_atom_site_fract_z
Mg1 Mg 0.230 0.230 0.230
Mg2 Mg 0.770 0.770 0.770
Cu1 Cu 0.500 0.500 0.500
Se1 Se 0.121 0.121 0.121
Se2 Se 0.330 0.330 0.330
Se3 Se 0.670 0.670 0.670
Se4 Se 0.879 0.879 0.879
```

Results
Uncorrected formation energy, meV per atom: -389
Offset from the most stable computed form, meV per atom: 168

Record 8
DFT (PBE) results for a relaxed Mg4CuSe8 crystal.

The structure in CIF format:
```
data_Mg4CuSe8
_chemical_formula_sum 'Mg4 Cu1 Se8'
_cell_length_a 9.781
_cell_length_b 9.781
_cell_length_c 9.781
_cell_angle_alpha 92.55
_cell_angle_beta 92.55
_cell_angle_gamma 155.63
_symmetry_space_group_name_H-M 'P 1'
_symmetry_Int_Tables_number 1
_symmetry_space_group_name_Hall 'P 1'
loop_
_atom_site_label
_atom_site_type_symbol
_atom_site_fract_x
_atom_site_fract_y
_atom_site_fract_z
Mg1 Mg 0.086 0.332 0.418
Mg2 Mg 0.332 0.914 0.246
Mg3 Mg 0.668 0.086 0.754
Mg4 Mg 0.914 0.668 0.582
Cu1 Cu 0.500 0.500 0.000
Se1 Se 0.195 0.764 0.959
Se2 Se 0.209 0.480 0.689
Se3 Se 0.236 0.195 0.432
Se4 Se 0.480 0.791 0.272
Se5 Se 0.520 0.209 0.728
Se6 Se 0.764 0.805 0.568
Se7 Se 0.791 0.520 0.311
Se8 Se 0.805 0.236 0.041
```

Results
Uncorrected formation energy, meV per atom: -339
Offset from the most stable computed form, meV per atom: 108

Record 9
DFT (PBE) results for a relaxed MgCuSe2 crystal.

The structure in CIF format:
```
data_MgCuSe2
_chemical_formula_sum 'Mg2 Cu2 Se4'
_cell_length_a 4.156
_cell_length_b 5.181
_cell_length_c 8.048
_cell_angle_alpha 90.00
_cell_angle_beta 90.00
_cell_angle_gamma 90.00
_symmetry_space_group_name_H-M 'P 1'
_symmetry_Int_Tables_number 1
_symmetry_space_group_name_Hall 'P 1'
loop_
_atom_site_label
_atom_site_type_symbol
_atom_site_fract_x
_atom_site_fract_y
_atom_site_fract_z
Mg1 Mg 0.250 0.250 0.166
Mg2 Mg 0.750 0.750 0.834
Cu1 Cu 0.250 0.250 0.775
Cu2 Cu 0.750 0.750 0.225
Se1 Se 0.250 0.250 0.489
Se2 Se 0.250 0.750 0.077
Se3 Se 0.750 0.250 0.923
Se4 Se 0.750 0.750 0.511
```

Results
Uncorrected formation energy, meV per atom: -350

Record 10
DFT (PBE) results for a relaxed Mg3Cu7Se2 crystal.

The structure in CIF format:
```
data_Mg3Cu7Se2
_chemical_formula_sum 'Mg3 Cu7 Se2'
_cell_length_a 10.120
_cell_length_b 10.120
_cell_length_c 10.120
_cell_angle_alpha 28.43
_cell_angle_beta 28.43
_cell_angle_gamma 28.43
_symmetry_space_group_name_H-M 'P 1'
_symmetry_Int_Tables_number 1
_symmetry_space_group_name_Hall 'P 1'
loop_
_atom_site_label
_atom_site_type_symbol
_atom_site_fract_x
_atom_site_fract_y
_atom_site_fract_z
Mg1 Mg 0.000 0.000 0.000
Mg2 Mg 0.148 0.148 0.148
Mg3 Mg 0.852 0.852 0.852
Cu1 Cu 0.102 0.598 0.598
Cu2 Cu 0.402 0.402 0.898
Cu3 Cu 0.402 0.898 0.402
Cu4 Cu 0.500 0.500 0.500
Cu5 Cu 0.598 0.102 0.598
Cu6 Cu 0.598 0.598 0.102
Cu7 Cu 0.898 0.402 0.402
Se1 Se 0.301 0.301 0.301
Se2 Se 0.699 0.699 0.699
```

Results
Uncorrected formation energy, meV per atom: -116

Number 1: D(E_F) 3.246 states/eV/cell, size of the total moment 0.0 μB/f.u.. Number 2: D(E_F) 4.679 states/eV/cell, size of the total moment 0.0 μB/f.u.. Number 3: D(E_F) 0.544 states/eV/cell, size of the total moment 0.0 μB/f.u.. Number 4: D(E_F) 1.740 states/eV/cell, size of the total moment 0.0 μB/f.u.. Number 5: D(E_F) 1.369 states/eV/cell, size of the total moment 0.0 μB/f.u.. Number 6: D(E_F) 2.787 states/eV/cell, size of the total moment 0.0 μB/f.u.. Number 7: D(E_F) 2.762 states/eV/cell, size of the total moment 0.6 μB/f.u.. Number 8: D(E_F) 3.779 states/eV/cell, size of the total moment 0.0 μB/f.u.. Number 9: D(E_F) 2.217 states/eV/cell, size of the total moment 0.0 μB/f.u.. Number 10: D(E_F) 7.615 states/eV/cell, size of the total moment 0.0 μB/f.u..